# 1
DFT (PBE) results for an optimized crystal structure of Rb2Ce2AlS6.

The space-group type is No. 12. The calculation puts the total magnetization at 0.09 μB/atom. The formation energy from raw total energies comes out at -1525.4 meV/atom. The calculated total energy is -5.37 eV/atom.

a b c (Å): 6.8735 6.8735 8.1789
angles (deg): 98.36 98.36 119.44
Last column: nearest neighbours and their distance in Å.
Positions (direct):
Al 0.0000 0.0000 0.5000  6 S 2.46-2.54
S 0.6314 0.9381 0.3183  1 Al 2.54, 2 Ce 2.78-2.80
S 0.3686 0.0619 0.6817  1 Al 2.54, 2 Ce 2.78-2.80
S 0.0619 0.3686 0.6817  1 Al 2.54, 2 Ce 2.78-2.80
S 0.2331 0.2331 0.3237  1 Al 2.46
S 0.9381 0.6314 0.3183  1 Al 2.54, 2 Ce 2.78-2.80
S 0.7669 0.7669 0.6763  1 Al 2.46
Rb 0.1702 0.8298 0.0000  6 S 3.35-3.48
Rb 0.8298 0.1702 0.0000  6 S 3.35-3.48
Ce 0.3331 0.6669 0.5000  6 S 2.78-2.81
Ce 0.6669 0.3331 0.5000  6 S 2.78-2.81

***

# 2
DFT (PBE) results for an optimized crystal structure of Pr3NiRh.

The value obtained for the calculated formation energy is -1.8 eV per formula unit. For the energy above the most stable polymorph in this dataset, the calculation gives 6.5 meV/atom. The space-group type is No. 148. The calculation puts the total magnetization at 0.00 μB/atom. The calculated total energy is -5.84 eV/atom.

a b c (Å): 7.0702 7.0704 7.6207
angles (deg): 62.36 62.36 60.00
Last column: nearest neighbours and their distance in Å.
Positions (direct):
Pr 0.8872 0.2549 0.2503  2 Ni 2.87-2.94, 2 Rh 2.90-2.93
Pr 0.3925 0.1127 0.7497  2 Ni 2.87-2.94, 2 Rh 2.90-2.93
Pr 0.1128 0.7451 0.7497  2 Ni 2.87-2.94, 2 Rh 2.90-2.93
Pr 0.7451 0.3925 0.7497  2 Ni 2.87-2.94, 2 Rh 2.90-2.93
Pr 0.2549 0.6075 0.2503  2 Ni 2.87-2.94, 2 Rh 2.90-2.93
Pr 0.6075 0.8873 0.2503  2 Ni 2.87-2.94, 2 Rh 2.90-2.93
Rh 0.8222 0.8222 0.5334  1 Ni 2.71, 6 Pr 2.90-2.93
Rh 0.1778 0.1778 0.4666  1 Ni 2.71, 6 Pr 2.90-2.93
Ni 0.3181 0.3180 0.0458  1 Rh 2.71, 6 Pr 2.87-2.94
Ni 0.6819 0.6820 0.9542  1 Rh 2.71, 6 Pr 2.87-2.94